Model one:
The following is a PBE calculation of a relaxed AcTlInPb crystal, from Alexandria via LeMat-Bulk.

Geometry as extended XYZ:
```
4
Lattice="4.883 0.000 0.000 0.000 4.947 0.000 0.000 0.000 5.164" Properties=species:S:1:pos:R:3 pbc="T T T"
Ac 0.000 0.000 0.000
Tl 2.442 0.000 2.582
In 0.000 2.473 2.582
Pb 2.442 2.473 0.000
```

Values from the calculation:
* magnetic moment: 0.00 μB/f.u.



Model two:
The following is a PBE calculation of a relaxed AcTlInPb crystal, from Alexandria via LeMat-Bulk.

Geometry as extended XYZ:
```
4
Lattice="0.000 4.010 4.010 4.010 0.000 4.010 4.010 4.010 0.000" Properties=species:S:1:pos:R:3 pbc="T T T"
Ac 0.000 0.000 0.000
Tl 6.015 6.015 6.015
In 2.005 2.005 2.005
Pb 4.010 4.010 4.010
```

Values from the calculation:
* magnetic moment: 0.00 μB/f.u.



Which one sits at the top of the stability order? model one does.